Entry 1:
A plane-wave DFT calculation with PBE was carried out for a relaxed ZrAgAu2 crystal.

The structure in POSCAR format:
```
ZrAgAu2
1.0
0.000 3.338 3.338
3.338 0.000 3.338
3.338 3.338 0.000
Zr Au Ag
1 2 1
Direct
0.500 0.500 0.500
0.250 0.250 0.250
0.000 0.000 0.000
0.750 0.750 0.750
```

Values from the calculation:
As for the formation energy: -6.839 kcal/mol of atoms. As for the space-group type: F-43m (216).

***

Entry 2:
A plane-wave DFT calculation with PBE was carried out for a relaxed Nb2I crystal.

The structure in POSCAR format:
```
Nb2I
1.0
0.000 4.018 4.018
4.018 0.000 4.018
4.018 4.018 0.000
I Nb
2 4
Direct
0.000 0.000 0.000
0.250 0.250 0.250
0.625 0.625 0.125
0.625 0.625 0.625
0.125 0.625 0.625
0.625 0.125 0.625
```

Values from the calculation:
As for the space-group type: Fd-3m (227). The uncorrected energy comes out at -6.38 eV/atom.

***

Entry 3:
A plane-wave DFT calculation with PBE was carried out for a relaxed Ta4NiAsN2 crystal.

The structure in POSCAR format:
```
Ta4NiAsN2
1.0
-2.490 -0.995 -1.759
1.479 -2.040 1.984
-7.652 3.215 9.011
Ta Ni As N
4 1 1 2
Direct
0.333 0.667 0.847
0.667 0.333 0.655
0.333 0.667 0.153
0.667 0.333 0.345
0.667 0.333 0.000
0.333 0.667 0.500
0.000 0.000 0.246
0.000 0.000 0.754
```

Values from the calculation:
As for the space-group type: P-6m2 (187). The uncorrected energy comes out at -9.81 eV/atom.

***

Entry 4:
A plane-wave DFT calculation with PBE was carried out for a relaxed La2Pr2O5 crystal.

The structure in POSCAR format:
```
La2Pr2O5
1.0
-1.978 2.128 6.897
3.932 -1.739 1.664
2.076 4.063 -0.658
La O Pr
2 5 2
Direct
0.000 0.000 0.000
0.500 0.000 0.000
0.774 0.500 0.000
0.226 0.000 0.500
0.500 0.500 0.500
0.774 0.000 0.500
0.226 0.500 0.000
0.787 0.500 0.500
0.213 0.500 0.500
```

Values from the calculation:
As for the space-group type: P4/mmm (123). The relative energy among the computed polymorphs is 0.00 eV/f.u.

***

Entry 5:
A plane-wave DFT calculation with PBE was carried out for a relaxed LaDyCd crystal.

The structure in POSCAR format:
```
LaDyCd
1.0
0.000 3.607 3.607
3.607 0.000 3.607
3.607 3.607 0.000
La Dy Cd
1 1 1
Direct
0.750 0.750 0.750
0.000 0.000 0.000
0.250 0.250 0.250
```

Values from the calculation:
As for the formation energy: 7.023 kcal/mol of atoms. As for the space-group type: F-43m (216). The relative energy among the computed polymorphs is 0.00 eV/f.u.

***

Entry 6:
A plane-wave DFT calculation with PBE was carried out for a relaxed PrNiPt crystal.

The structure in POSCAR format:
```
PrNiPt
1.0
0.000 3.290 3.290
3.290 0.000 3.290
3.290 3.290 0.000
Ni Pt Pr
1 1 1
Direct
0.500 0.500 0.500
0.000 0.000 0.000
0.250 0.250 0.250
```

Values from the calculation:
As for the formation energy: 1.634 kcal/mol of atoms. As for the space-group type: F-43m (216).

***

Entry 7:
A plane-wave DFT calculation with PBE was carried out for a relaxed LaAlAsPd2 crystal.

The structure in POSCAR format:
```
LaAlAsPd2
1.0
-2.210 3.482 -1.397
-3.734 -2.199 0.428
-0.865 3.368 9.763
Pd Al As La
4 2 2 2
Direct
0.500 0.500 0.000
0.000 0.000 0.000
0.000 0.500 0.377
0.500 0.000 0.623
0.000 0.000 0.500
0.500 0.500 0.500
0.500 0.000 0.860
0.000 0.500 0.140
0.000 0.500 0.765
0.500 0.000 0.235
```

Values from the calculation:
As for the space-group type: P4/nmm (129). The relative energy among the computed polymorphs is 0.00 eV/f.u.

***

Entry 8:
A plane-wave DFT calculation with PBE was carried out for a relaxed Zn2FeRe crystal.

The structure in POSCAR format:
```
Zn2FeRe
1.0
0.000 3.002 3.002
3.002 0.000 3.002
3.002 3.002 0.000
Re Zn Fe
1 2 1
Direct
0.250 0.250 0.250
0.500 0.500 0.500
0.000 0.000 0.000
0.750 0.750 0.750
```

Values from the calculation:
As for the formation energy: 9.566 kcal/mol of atoms. As for the space-group type: Fm-3m (225). The relative energy among the computed polymorphs is 0.53 eV/f.u.

***

Entry 9:
A plane-wave DFT calculation with PBE was carried out for a relaxed La2Nb2MoN6 crystal.

The structure in POSCAR format:
```
La2Nb2MoN6
1.0
-2.009 2.009 9.327
2.009 -2.009 9.327
2.009 2.009 -9.327
La N Nb Mo
2 6 2 1
Direct
0.175 0.175 0.000
0.825 0.825 0.000
0.571 0.071 0.500
0.307 0.307 0.000
0.429 0.929 0.500
0.693 0.693 0.000
0.071 0.571 0.500
0.929 0.429 0.500
0.587 0.587 0.000
0.413 0.413 0.000
0.000 0.000 0.000
```

Values from the calculation:
As for the space-group type: I4/mmm (139). The uncorrected energy comes out at -9.07 eV/atom.

***

Entry 10:
A plane-wave DFT calculation with PBE was carried out for a relaxed NaYCdTe3 crystal.

The structure in POSCAR format:
```
NaYCdTe3
1.0
8.734 0.000 0.000
0.000 4.404 0.000
-2.752 0.000 10.250
Te Y Cd Na
6 2 2 2
Direct
0.741 0.250 0.462
0.435 0.750 0.155
0.565 0.250 0.845
0.924 0.750 0.135
0.076 0.250 0.865
0.259 0.750 0.538
0.675 0.250 0.145
0.325 0.750 0.855
0.083 0.250 0.604
0.917 0.750 0.396
0.212 0.250 0.240
0.788 0.750 0.760
```

Values from the calculation:
As for the space-group type: P2_1/m (11). The relative energy among the computed polymorphs is 0.00 eV/f.u.

***

Entry 11:
A plane-wave DFT calculation with PBE was carried out for a relaxed HfZrNi2Ge4 crystal.

The structure in POSCAR format:
```
HfZrNi2Ge4
1.0
3.826 0.000 0.000
0.000 3.826 0.000
0.000 0.000 8.870
Ge Zr Ni Hf
4 1 2 1
Direct
0.500 0.000 0.497
0.500 0.500 0.837
0.000 0.000 0.166
0.000 0.500 0.497
0.000 0.000 0.744
0.000 0.500 0.003
0.500 0.000 0.003
0.500 0.500 0.253
```

Values from the calculation:
As for the space-group type: P4mm (99). The uncorrected energy comes out at -6.57 eV/atom.

***

Entry 12:
A plane-wave DFT calculation with PBE was carried out for a relaxed ThNpFe crystal.

The structure in POSCAR format:
```
ThNpFe
1.0
0.000 3.197 3.197
3.197 0.000 3.197
3.197 3.197 0.000
Th Fe Np
1 1 1
Direct
0.250 0.250 0.250
0.000 0.000 0.000
0.750 0.750 0.750
```

Values from the calculation:
As for the formation energy: 10.242 kcal/mol of atoms. As for the space-group type: F-43m (216). The relative energy among the computed polymorphs is 0.00 eV/f.u.

***

no.,calculated volume (Å³ per atom)
1,18.6
2,21.6
3,13.6
4,17.7
5,31.3
6,23.7
7,19.7
8,13.5
9,13.7
10,32.9
11,16.2
12,21.8